(1)
Here is a geometry-optimized Mn4CrGa5Co10 structure from Alexandria via LeMat-Bulk. Energies are from PBE-GGA.

Lattice parameters (Å, degrees): 16.660 16.660 16.660 13.94 13.94 13.94
Last column: magnetic moment on the atom in μB.
Fractional positions:
1 Mn 0.600 0.600 0.600  2.84
2 Mn 0.200 0.200 0.200  2.76
3 Mn 0.800 0.800 0.800  2.76
4 Mn 0.400 0.400 0.400  2.84
5 Cr 0.000 0.000 0.000  1.39
6 Ga 0.700 0.700 0.700  -0.07
7 Ga 0.500 0.500 0.500  -0.08
8 Ga 0.100 0.100 0.100  -0.08
9 Ga 0.300 0.300 0.300  -0.07
10 Ga 0.900 0.900 0.900  -0.08
11 Co 0.049 0.049 0.049  0.72
12 Co 0.850 0.850 0.850  0.72
13 Co 0.450 0.450 0.450  0.73
14 Co 0.650 0.650 0.650  0.66
15 Co 0.250 0.250 0.250  0.74
16 Co 0.350 0.350 0.350  0.66
17 Co 0.150 0.150 0.150  0.72
18 Co 0.750 0.750 0.750  0.74
19 Co 0.951 0.951 0.951  0.72
20 Co 0.550 0.550 0.550  0.73

Summary:
As for the symmetry: R-3m. The calculation puts the formation energy at -0.204 eV per atom. The density of states at the Fermi level is 13.72 states/eV/f.u.

=====

(2)
Here is a geometry-optimized Cr2GaCoN structure from Alexandria via LeMat-Bulk. Energies are from PBE-GGA.

Lattice parameters (Å, degrees): 3.810 3.810 3.800 90.00 90.00 90.00
Last column: magnetic moment on the atom in μB.
Fractional positions:
1 Cr 0.000 0.500 0.000  0.81
2 Cr 0.500 0.000 0.000  0.81
3 Co 0.000 0.000 0.500  -0.03
4 Ga 0.500 0.500 0.500  -0.04
5 N 0.000 0.000 0.000  -0.06

Summary:
As for the symmetry: P4/mmm. The density of states at the Fermi level is 5.87 states/eV/f.u. The calculation puts the formation energy without anion corrections at -247 meV per atom.

=====

Listing total DFT energy (no corrections) for the structures above in their given order: -0.5019, -0.5724 Ry per atom.